The following is a DFT calculation (PBE) of crystalline Na4NiGe2Pd at its relaxed geometry.

Calculated values
- total magnetization (Bohr magnetons per cell) = 0.01
- SG = No. 115
- E (eV per cell) = -25.1

Cell and atoms, written as POSCAR:
```
Na4NiGe2Pd
1.0
-0.2213 -0.8139 -4.5655
-0.6322 -4.5227 0.8369
-6.5527 0.9436 0.1494
Na Ge Pd Ni
4 2 1 1
Direct
0.5000 0.5000 0.0000
0.5000 0.0000 0.7535
0.0000 0.5000 0.2465
0.0000 0.0000 0.5000
0.0000 0.5000 0.7617
0.5000 0.0000 0.2384
0.5000 0.5000 0.5000
0.0000 0.0000 0.0000
```